A plane-wave DFT calculation with GGA-PBE was carried out for an optimized crystal structure of Pa2AlOs2.

Cell lengths 4.4065, 5.3131, 5.3131 Å; angles 67.26, 65.50, 65.50 degrees
Positions (direct):
Pa1 0.8126 0.6874 0.6874
Pa2 0.1874 0.3126 0.3126
Os1 0.5000 0.7522 0.2478
Os2 0.5000 0.2478 0.7522
Al1 0.0000 0.0000 0.0000

Calculated values
SG	Immm (71)

---

A plane-wave DFT calculation with GGA-PBE was carried out for an optimized crystal structure of Pa6AlOs.

Cell lengths 6.3446, 6.3573, 6.3768 Å; angles 60.10, 74.36, 57.25 degrees
Positions (direct):
Pa1 0.2500 0.5097 0.4594
Pa2 0.2500 0.9691 0.5406
Pa3 0.2740 0.2576 0.0000
Pa4 0.7500 0.0309 0.4594
Pa5 0.7260 0.7424 0.0000
Pa6 0.7500 0.4903 0.5406
Al1 0.0000 0.0000 0.0000
Os1 0.5000 0.5000 0.0000

Calculated values
SG	C2/m (12)

---

A plane-wave DFT calculation with GGA-PBE was carried out for an optimized crystal structure of Pa2AlOs3.

Cell lengths 5.0839, 5.0839, 5.0839 Å; angles 67.55, 67.55, 67.55 degrees
Positions (direct):
Pa1 0.3748 0.3748 0.3748
Pa2 0.6252 0.6252 0.6252
Os1 0.5000 0.0000 0.0000
Os2 0.0000 0.5000 0.0000
Os3 0.0000 0.0000 0.5000
Al1 0.0000 0.0000 0.0000

Calculated values
SG	R-3m (166)

---

A plane-wave DFT calculation with GGA-PBE was carried out for an optimized crystal structure of PaAl2Os.

Cell lengths 4.2068, 5.1500, 7.4290 Å; angles 90.00, 90.00, 111.91 degrees
Positions (direct):
Al1 0.6329 0.2855 0.0534
Al2 0.6329 0.2855 0.4466
Al3 0.3671 0.7145 0.5534
Al4 0.3671 0.7145 0.9466
Pa1 0.0595 0.1419 0.7500
Pa2 0.9405 0.8581 0.2500
Os1 0.8091 0.5820 0.7500
Os2 0.1909 0.4180 0.2500

Calculated values
SG	P2_1/m (11)
polymorph energy (0 for the lowest one)	0.00	eV per formula unit

---

Number 1: energy of formation -0.5012 eV per atom, spin magnetization 0.00 Bohr magnetons per cell. Number 2: energy of formation 0.1993 eV per atom, spin magnetization 0.00 Bohr magnetons per cell. Number 3: energy of formation -0.4316 eV per atom, spin magnetization 0.00 Bohr magnetons per cell. Number 4: energy of formation -0.4792 eV per atom, spin magnetization 0.00 Bohr magnetons per cell.